Compound: LiCePmGd
Source: Alexandria via LeMat-Bulk
Functional: PBE
Structure: optimized geometry

Results
- ΔE_f: 0.258 eV/atom
- Calculated volume: 458.6 Å³/cell
- Raw total energy: -6.412 eV per atom
- Space group: F-43m (216)

```
16
Lattice="7.711 0.000 0.000 0.000 7.711 0.000 0.000 0.000 7.711" Properties=species:S:1:pos:R:3 pbc="T T T"
Li 0.000 0.000 0.000
Li 0.000 3.856 3.856
Li 3.856 0.000 3.856
Li 3.856 3.856 0.000
Ce 0.000 0.000 3.856
Ce 0.000 3.856 0.000
Ce 3.856 0.000 0.000
Ce 3.856 3.856 3.856
Pm 1.928 1.928 1.928
Pm 1.928 5.784 5.784
Pm 5.784 1.928 5.784
Pm 5.784 5.784 1.928
Gd 1.928 1.928 5.784
Gd 1.928 5.784 1.928
Gd 5.784 1.928 1.928
Gd 5.784 5.784 5.784
```

Compound: Ho12Ir3O5
Source: Alexandria via LeMat-Bulk
Functional: PBE
Structure: optimized geometry

Results
- ΔE_f (raw): -1.722 eV/atom
- Calculated volume: 1704.6 Å³/cell
- Raw total energy: -7.037 eV per atom
- Space group: Ia-3d (230)

```
80
Lattice="-7.525 7.525 7.525 7.525 -7.525 7.525 7.525 7.525 -7.525" Properties=species:S:1:pos:R:3 pbc="T T T"
Ho 2.289 -0.484 0.849
Ho 8.999 4.612 -4.247
Ho 9.814 0.484 0.849
Ho 8.999 -2.913 4.247
Ho 7.041 -0.849 2.289
Ho 11.772 -1.473 2.913
Ho 0.849 2.289 -0.484
Ho 10.439 3.278 -1.473
Ho 4.612 4.247 -1.473
Ho 6.676 2.289 0.484
Ho -0.484 0.849 2.289
Ho 4.247 -1.473 4.612
Ho 7.041 6.676 -2.289
Ho 4.247 1.473 2.913
Ho 4.612 -4.247 8.999
Ho 6.676 -2.289 7.041
Ho 2.913 4.247 1.473
Ho 8.375 5.236 0.484
Ho 4.247 8.999 -2.913
Ho 7.041 0.849 5.236
Ho 2.289 7.041 -0.849
Ho 8.999 2.913 3.278
Ho 1.473 2.913 4.247
Ho 2.289 0.484 6.676
Ho 5.236 7.041 0.849
Ho 6.052 4.612 3.278
Ho -1.473 4.612 4.247
Ho 5.236 0.484 8.375
Ho 0.484 6.676 2.289
Ho 3.278 -1.473 10.439
Ho -0.849 2.289 7.041
Ho 4.612 3.278 6.052
Ho 0.849 9.814 0.484
Ho 2.913 11.772 -1.473
Ho 3.278 6.052 4.612
Ho 0.484 0.849 9.814
Ho 3.278 8.999 2.913
Ho 8.009 6.676 5.236
Ho 0.849 5.236 7.041
Ho 2.913 3.278 8.999
Ho -2.913 4.247 8.999
Ho 6.676 5.236 8.009
Ho -4.247 8.999 4.612
Ho 0.484 8.375 5.236
Ho -1.473 10.439 3.278
Ho -2.289 7.041 6.676
Ho -1.473 2.913 11.772
Ho 5.236 8.009 6.676
Ir 3.763 1.881 0.000
Ir 7.525 3.763 -1.881
Ir 1.881 0.000 3.763
Ir 9.407 0.000 3.763
Ir 0.000 3.763 1.881
Ir 3.763 -1.881 7.525
Ir 3.763 9.407 0.000
Ir 7.525 3.763 5.644
Ir -1.881 7.525 3.763
Ir 5.644 7.525 3.763
Ir 0.000 3.763 9.407
Ir 3.763 5.644 7.525
O 0.000 0.000 0.000
O 3.763 3.763 -3.763
O 3.763 -3.763 3.763
O 7.525 0.000 0.000
O 11.288 1.881 0.000
O 7.525 -3.763 5.644
O 5.644 7.525 -3.763
O 5.644 0.000 3.763
O 3.763 5.644 0.000
O 7.525 3.763 1.881
O -3.763 3.763 3.763
O 0.000 7.525 0.000
O 0.000 0.000 7.525
O 3.763 3.763 3.763
O 0.000 3.763 5.644
O 3.763 1.881 7.525
O 1.881 7.525 3.763
O 1.881 0.000 11.288
O 0.000 11.288 1.881
O -3.763 5.644 7.525
```

Compound: KLaAs2Se
Source: Alexandria via LeMat-Bulk
Functional: PBE
Structure: optimized geometry

Results
- ΔE_f (raw): 0.336 eV/atom
- Calculated volume: 150.3 Å³/cell
- Raw total energy: -3.425 eV per atom
- Distance to the lowest polymorph of the same formula: 0.635 eV per atom
- Space group: P4/mmm (123)

```
5
Lattice="5.256 0.000 0.000 0.000 5.256 0.000 0.000 0.000 5.439" Properties=species:S:1:pos:R:3 pbc="T T T"
K 0.000 0.000 0.000
La 2.628 2.628 2.719
As 0.000 2.628 0.000
As 2.628 0.000 0.000
Se 0.000 0.000 2.719
```

Compound: Be2InGe
Source: Alexandria via LeMat-Bulk
Functional: PBE
Structure: optimized geometry

Results
- ΔE_f: 0.641 eV/atom
- Calculated volume: 250.9 Å³/cell
- Raw total energy: -3.061 eV per atom
- Distance to the lowest polymorph of the same formula: 0.226 eV per atom
- Space group: Fm-3m (225)

```
16
Lattice="6.307 0.000 0.000 0.000 6.307 0.000 0.000 0.000 6.307" Properties=species:S:1:pos:R:3 pbc="T T T"
Be 1.577 1.577 1.577
Be 1.577 1.577 4.730
Be 1.577 4.730 1.577
Be 1.577 4.730 4.730
Be 4.730 1.577 1.577
Be 4.730 1.577 4.730
Be 4.730 4.730 1.577
Be 4.730 4.730 4.730
In 0.000 0.000 0.000
In 0.000 3.153 3.153
In 3.153 0.000 3.153
In 3.153 3.153 0.000
Ge 0.000 0.000 3.153
Ge 0.000 3.153 0.000
Ge 3.153 0.000 0.000
Ge 3.153 3.153 3.153
```

Compound: LiMg4In3
Source: Alexandria via LeMat-Bulk
Functional: PBE
Structure: optimized geometry

Results
- ΔE_f: -0.050 eV/atom
- Calculated volume: 379.2 Å³/cell
- Raw total energy: -2.114 eV per atom
- Distance to the lowest polymorph of the same formula: 0.035 eV per atom
- Space group: C2/m (12)

```
16
Lattice="25.530 0.000 0.000 0.000 3.327 0.000 -0.744 0.000 4.465" Properties=species:S:1:pos:R:3 pbc="T T T"
Li 0.000 0.000 0.000
Li 12.765 1.664 0.000
Mg 2.042 0.000 2.701
Mg 5.063 0.000 3.222
Mg 6.959 1.664 1.242
Mg 9.979 1.664 1.764
Mg 14.807 1.664 2.701
Mg 17.828 1.664 3.222
Mg 19.724 0.000 1.242
Mg 22.744 0.000 1.764
In -0.372 1.664 2.232
In 3.872 1.664 0.715
In 8.150 0.000 3.750
In 12.393 0.000 2.232
In 16.637 0.000 0.715
In 20.915 1.664 3.750
```

Compound: PaMnFeGe3
Source: Alexandria via LeMat-Bulk
Functional: PBE
Structure: optimized geometry

Results
- ΔE_f: -0.061 eV/atom
- Calculated volume: 211.9 Å³/cell
- Raw total energy: -6.891 eV per atom
- Space group: Cmcm (63)

```
12
Lattice="3.802 -4.795 0.000 3.802 4.795 0.000 0.000 0.000 5.813" Properties=species:S:1:pos:R:3 pbc="T T T"
Pa 3.802 2.474 4.360
Pa 3.802 -2.474 1.453
Mn 3.802 4.726 1.453
Mn 3.802 -4.726 4.360
Fe 3.802 0.144 4.360
Fe 3.802 -0.144 1.453
Ge 1.915 0.000 0.000
Ge 1.915 0.000 2.906
Ge 3.802 2.312 1.453
Ge 3.802 -2.312 4.360
Ge 5.689 0.000 0.000
Ge 5.689 0.000 2.906
```

Compound: Pr3DySn3
Source: Alexandria via LeMat-Bulk
Functional: PBE
Structure: optimized geometry

Results
- ΔE_f: -0.458 eV/atom
- Calculated volume: 474.4 Å³/cell
- Raw total energy: -4.880 eV per atom
- Space group: C2/m (12)

```
14
Lattice="4.436 -6.728 0.000 4.436 6.728 0.000 -0.070 0.000 7.946" Properties=species:S:1:pos:R:3 pbc="T T T"
Pr 4.436 4.678 0.000
Pr 4.401 3.711 3.973
Pr 3.211 0.000 6.837
Pr 5.592 0.000 1.109
Pr 4.401 -3.711 3.973
Pr 4.436 -4.678 0.000
Dy 2.543 0.000 3.209
Dy 6.260 0.000 4.738
Sn 0.415 0.000 5.462
Sn 2.923 2.348 1.460
Sn 5.880 2.348 6.486
Sn 2.923 -2.348 1.460
Sn 5.880 -2.348 6.486
Sn 8.388 0.000 2.485
```

Compound: Ga2Hg5Pd12
Source: Alexandria via LeMat-Bulk
Functional: PBE
Structure: optimized geometry

Results
- ΔE_f: -0.107 eV/atom
- Calculated volume: 365.8 Å³/cell
- Raw total energy: -3.785 eV per atom
- Space group: C2/m (12)

```
19
Lattice="7.504 -2.813 0.000 7.504 2.813 0.000 -4.378 0.000 8.666" Properties=species:S:1:pos:R:3 pbc="T T T"
Ga 7.504 1.416 0.000
Ga 7.504 -1.416 0.000
Hg -2.189 0.000 4.333
Hg 0.105 0.000 8.516
Hg 2.698 0.000 4.301
Hg 7.932 0.000 4.365
Hg 10.524 0.000 0.150
Pd -3.349 0.000 6.851
Pd 1.707 1.429 6.563
Pd 4.136 1.389 2.282
Pd 6.494 1.389 6.383
Pd 8.923 1.429 2.103
Pd 6.499 0.000 1.874
Pd 4.131 0.000 6.791
Pd 1.707 -1.429 6.563
Pd 4.136 -1.389 2.282
Pd 6.494 -1.389 6.383
Pd 8.923 -1.429 2.103
Pd 13.979 0.000 1.815
```

Compound: Ca3Tb2NdTe6
Source: Alexandria via LeMat-Bulk
Functional: PBE
Structure: optimized geometry

Results
- ΔE_f (raw): -1.483 eV/atom
- Calculated volume: 375.4 Å³/cell
- Raw total energy: -4.723 eV per atom
- Space group: C2/m (12)

```
12
Lattice="9.779 -2.208 0.000 9.779 2.208 0.000 -2.274 0.000 8.692" Properties=species:S:1:pos:R:3 pbc="T T T"
Ca 0.000 0.000 0.000
Ca 5.038 0.000 5.808
Ca 12.245 0.000 2.883
Tb 6.186 0.000 1.509
Tb 11.096 0.000 7.183
Nd -1.137 0.000 4.346
Te 3.133 0.000 0.681
Te 1.978 0.000 5.090
Te 9.212 0.000 2.121
Te 8.071 0.000 6.571
Te 15.305 0.000 3.602
Te 14.150 0.000 8.011
```

Compound: KNaO3
Source: Alexandria via LeMat-Bulk
Functional: PBE
Structure: optimized geometry

Results
- ΔE_f (raw): -0.821 eV/atom
- Calculated volume: 299.9 Å³/cell
- Raw total energy: -4.279 eV per atom
- Space group: Pnma (62)

```
20
Lattice="6.999 0.000 0.000 0.000 6.361 0.000 0.000 0.000 6.737" Properties=species:S:1:pos:R:3 pbc="T T T"
K 0.291 1.590 0.431
K 3.208 4.771 3.799
K 3.790 1.590 2.937
K 6.708 4.771 6.305
Na 0.000 0.000 3.368
Na 0.000 3.180 3.368
Na 3.499 0.000 0.000
Na 3.499 3.180 0.000
O 1.574 1.590 4.357
O 1.616 0.353 5.177
O 1.616 2.828 5.177
O 1.883 3.533 1.809
O 1.883 6.008 1.809
O 1.925 4.771 0.989
O 5.074 1.590 5.748
O 5.115 0.353 4.928
O 5.115 2.828 4.928
O 5.382 3.533 1.560
O 5.382 6.008 1.560
O 5.424 4.771 2.379
```